Entry 1:
A plane-wave DFT calculation with PBE was carried out for a relaxed SrAcSe crystal. Values from VASP.

Structure (Quantum ESPRESSO input):
```
&SYSTEM
  ibrav = 0, nat = 6, ntyp = 3
/
ATOMIC_SPECIES
Sr 87.62 Sr.upf
Se 78.96 Se.upf
Ac 227.00 Ac.upf
ATOMIC_POSITIONS angstrom
Sr 1.4617 0.2629 3.9338
Sr 7.3032 3.5409 8.7422
Se 6.8221 3.8283 5.6156
Se 3.8851 2.1802 3.1980
Ac 0.0000 0.0000 0.0000
Ac 4.3825 1.9019 6.3380
CELL_PARAMETERS angstrom
-2.4432 3.3506 0.6839
-0.2350 -3.3288 2.5549
10.7071 6.0085 8.8136
```

Results
* electronic total energy: -4.24 eV/atom
* formation energy from raw total energies: -1.15 eV/atom

=====

Entry 2:
A plane-wave DFT calculation with PBE was carried out for a relaxed Tb2TlNi crystal. Values from VASP.

Structure (Quantum ESPRESSO input):
```
&SYSTEM
  ibrav = 0, nat = 4, ntyp = 3
/
ATOMIC_SPECIES
Tb 158.93 Tb.upf
Ni 58.69 Ni.upf
Tl 204.38 Tl.upf
ATOMIC_POSITIONS angstrom
Tb 7.7038 4.4478 3.1450
Tb 2.5679 1.4826 1.0483
Ni 5.1358 2.9652 2.0967
Tl 0.0000 0.0000 0.0000
CELL_PARAMETERS angstrom
5.1358 0.0000 0.0000
2.5679 4.4478 0.0000
2.5679 1.4826 4.1934
```

Results
* formation energy from the elements: -243 meV per atom
* electronic total energy: -4.59 eV/atom

=====

Entry 3:
A plane-wave DFT calculation with PBE was carried out for a relaxed CuW2I crystal. Values from VASP.

Structure (Quantum ESPRESSO input):
```
&SYSTEM
  ibrav = 0, nat = 4, ntyp = 3
/
ATOMIC_SPECIES
Cu 63.55 Cu.upf
W 183.84 W.upf
I 126.90 I.upf
ATOMIC_POSITIONS angstrom
Cu 0.0000 0.0000 0.0000
W 4.8021 4.8021 4.8021
W 1.6007 1.6007 1.6007
I 3.2014 3.2014 3.2014
CELL_PARAMETERS angstrom
0.0000 3.2014 3.2014
3.2014 0.0000 3.2014
3.2014 3.2014 0.0000
```

Results
* electronic total energy: -6.64 eV/atom
* formation energy from raw total energies: 1.25 eV/atom

=====

Density of states at the Fermi level per entry: 0.7009; 1.0216; 1.0607 states/eV/atom